# NaCo2P3O10, relaxed, DFT PBE with a Hubbard U
# **Magnetic moment**: 12.01 μB/cell
# **E_tot**: -6.790 eV per atom
data_NaCo2P3O10
_space_group_name_H-M_alt 'P 1 21/m 1'
_space_group_IT_number 11
_cell_length_a 4.733
_cell_length_b 8.641
_cell_length_c 9.109
_cell_angle_alpha 90.00
_cell_angle_beta 97.72
_cell_angle_gamma 90.00
loop_
_space_group_symop_operation_xyz
'x,y,z'
'-x,-y,-z'
'-x,y+1/2,-z'
'x,-y+1/2,z'
loop_
_atom_site_label
_atom_site_fract_x
_atom_site_fract_y
_atom_site_fract_z
Na1 0.000 0.000 0.000
Co1 0.046 0.071 0.342
P1 0.333 0.250 0.815
P2 0.390 0.750 0.460
P3 0.477 0.250 0.151
O1 0.167 0.101 0.798
O2 0.214 0.750 0.770
O3 0.225 0.601 0.486
O4 0.307 0.250 0.456
O5 0.315 0.102 0.175
O6 0.415 0.750 0.285
O7 0.467 0.750 0.025